A plane-wave DFT calculation with PBE was carried out for a relaxed LaTl2Fe crystal.

## Properties
density of states at the Fermi level	11.04	states/eV/cell
total DFT energy (no corrections)	-4.1538	eV per atom
E_form	36.36	kJ per mole of atoms
space group	I-42d

Unit cell a=11.586 b=11.586 c=11.586 alpha=158.56 beta=158.56 gamma=30.50
Sites, in units of the cell vectors:
La 0.000 0.000 0.000
La 0.750 0.250 0.500
Tl 0.147 0.625 0.022
Tl 0.375 0.397 0.522
Tl 0.603 0.125 0.978
Tl 0.875 0.853 0.478
Fe 0.250 0.750 0.500
Fe 0.500 0.500 0.000